No. 1
Below is crystalline LiZn2Ir at its relaxed geometry, with properties calculated at the PBE level.

Summary:
Total magnetic moment, μB per atom: 0.0004
Final energy, eV for the cell shown: -14.59

Lattice parameters (Å, degrees): 4.271 4.271 2.996 90.00 90.00 90.00
Atoms (fractional coordinates):
Ir (0.500, 0.500, 0.000)
Li (0.000, 0.000, 0.000)
Zn (0.500, 0.000, 0.500)
Zn (0.000, 0.500, 0.500)



No. 2
Below is crystalline LiZn6Ir at its relaxed geometry, with properties calculated at the PBE level.

Summary:
Total magnetic moment, μB per atom: 0.0006
Final energy, eV for the cell shown: -19.79

Lattice parameters (Å, degrees): 4.329 5.328 4.853 90.00 90.00 90.00
Atoms (fractional coordinates):
Ir (0.500, 0.000, 0.346)
Li (0.000, 0.500, 0.653)
Zn (0.000, 0.250, 0.159)
Zn (0.000, 0.750, 0.159)
Zn (0.500, 0.500, 0.344)
Zn (0.000, 0.000, 0.657)
Zn (0.500, 0.247, 0.842)
Zn (0.500, 0.753, 0.842)



No. 3
Below is crystalline LiZn2Ir at its relaxed geometry, with properties calculated at the PBE level.

Summary:
Total magnetic moment, μB per atom: 0.0006
Final energy, eV for the cell shown: -25.86

Lattice parameters (Å, degrees): 4.150 4.150 7.365 90.00 90.00 120.00
Atoms (fractional coordinates):
Ir (0.000, 0.000, 0.250)
Ir (0.000, 0.000, 0.750)
Li (0.667, 0.333, 0.250)
Li (0.333, 0.667, 0.750)
Zn (0.333, 0.667, 0.080)
Zn (0.333, 0.667, 0.420)
Zn (0.667, 0.333, 0.580)
Zn (0.667, 0.333, 0.920)



No. 4
Below is crystalline LuIr2 at its relaxed geometry, with properties calculated at the PBE level.

Summary:
Total magnetic moment, μB per atom: 0.5593
Final energy, eV for the cell shown: -16.08
Formation enthalpy at 0 K, eV per atom: 2.05

Lattice parameters (Å, degrees): 5.435 5.435 5.435 60.00 60.00 60.00
Each line ends with the local moment (μB).
Atoms (fractional coordinates):
Ir (0.250, 0.250, 0.250)  0.88
Ir (0.750, 0.750, 0.750)  0.88
Lu (0.000, 0.000, 0.000)  -0.11



No. 5
Below is crystalline Lu2Ir at its relaxed geometry, with properties calculated at the PBE level.

Summary:
Total magnetic moment, μB per atom: 0.0001
Final energy, eV for the cell shown: -31.94
Formation enthalpy at 0 K, eV per atom: 0.64

Lattice parameters (Å, degrees): 8.335 8.335 8.335 60.00 60.00 60.00
Atoms (fractional coordinates):
Ir (0.250, 0.250, 0.250)
Ir (0.500, 0.500, 0.500)
Lu (0.875, 0.375, 0.375)
Lu (0.375, 0.875, 0.375)
Lu (0.375, 0.375, 0.375)
Lu (0.375, 0.375, 0.875)



No. 6
Below is crystalline Lu2Ir at its relaxed geometry, with properties calculated at the PBE level.

Summary:
Total magnetic moment, μB per atom: 0.0008
Final energy, eV for the cell shown: -60.59
Formation enthalpy at 0 K, eV per atom: -0.76

Lattice parameters (Å, degrees): 7.482 7.482 4.150 90.00 90.00 120.00
Atoms (fractional coordinates):
Ir (0.667, 0.333, 0.000)
Ir (0.333, 0.667, 0.000)
Ir (0.000, 0.000, 0.500)
Lu (0.743, 0.000, 0.000)
Lu (0.257, 0.257, 0.000)
Lu (0.000, 0.743, 0.000)
Lu (0.411, 0.000, 0.500)
Lu (0.000, 0.411, 0.500)
Lu (0.589, 0.589, 0.500)



No. 7
Below is crystalline Lu5Ir3 at its relaxed geometry, with properties calculated at the PBE level.

Summary:
Total magnetic moment, μB per atom: 0.0006
Final energy, eV for the cell shown: -225.72
Formation enthalpy at 0 K, eV per atom: -0.91

Lattice parameters (Å, degrees): 10.630 10.630 6.214 90.00 90.00 90.00
Atoms (fractional coordinates):
Ir (0.000, 0.500, 0.121)
Ir (0.846, 0.154, 0.250)
Ir (0.346, 0.346, 0.250)
Ir (0.654, 0.654, 0.250)
Ir (0.154, 0.846, 0.250)
Ir (0.500, 0.000, 0.379)
Ir (0.000, 0.500, 0.621)
Ir (0.154, 0.154, 0.750)
Ir (0.654, 0.346, 0.750)
Ir (0.346, 0.654, 0.750)
Ir (0.846, 0.846, 0.750)
Ir (0.500, 0.000, 0.879)
Lu (0.000, 0.000, 0.000)
Lu (0.500, 0.500, 0.000)
Lu (0.291, 0.087, 0.125)
Lu (0.587, 0.209, 0.125)
Lu (0.413, 0.791, 0.125)
Lu (0.709, 0.913, 0.125)
Lu (0.087, 0.291, 0.375)
Lu (0.791, 0.413, 0.375)
Lu (0.209, 0.587, 0.375)
Lu (0.913, 0.709, 0.375)
Lu (0.000, 0.000, 0.500)
Lu (0.500, 0.500, 0.500)
Lu (0.709, 0.087, 0.625)
Lu (0.413, 0.209, 0.625)
Lu (0.587, 0.791, 0.625)
Lu (0.291, 0.913, 0.625)
Lu (0.913, 0.291, 0.875)
Lu (0.209, 0.413, 0.875)
Lu (0.791, 0.587, 0.875)
Lu (0.087, 0.709, 0.875)



No. 8
Below is crystalline Lu2Ir at its relaxed geometry, with properties calculated at the PBE level.

Summary:
Total magnetic moment, μB per atom: 0.0005
Final energy, eV for the cell shown: -32.47
Formation enthalpy at 0 K, eV per atom: 0.56

Lattice parameters (Å, degrees): 5.642 5.642 5.642 60.00 60.00 60.00
Atoms (fractional coordinates):
Ir (0.000, 0.000, 0.000)
Ir (0.250, 0.250, 0.250)
Lu (0.625, 0.625, 0.125)
Lu (0.625, 0.125, 0.625)
Lu (0.125, 0.625, 0.625)
Lu (0.625, 0.625, 0.625)



No. 9
Below is crystalline Lu2MgIr at its relaxed geometry, with properties calculated at the PBE level.

Summary:
Total magnetic moment, μB per atom: 0.0004
Final energy, eV for the cell shown: -20.66

Lattice parameters (Å, degrees): 4.830 4.830 4.830 60.00 60.00 60.00
Atoms (fractional coordinates):
Ir (0.500, 0.500, 0.500)
Lu (0.000, 0.000, 0.000)
Lu (0.250, 0.250, 0.250)
Mg (0.750, 0.750, 0.750)



No. 10
Below is crystalline LuMgIr2 at its relaxed geometry, with properties calculated at the PBE level.

Summary:
Total magnetic moment, μB per atom: 0.0870
Final energy, eV for the cell shown: -24.67

Lattice parameters (Å, degrees): 4.608 4.608 4.608 60.00 60.00 60.00
Each line ends with the local moment (μB).
Atoms (fractional coordinates):
Ir (0.000, 0.000, 0.000)  0.16
Ir (0.250, 0.250, 0.250)  0.21
Lu (0.500, 0.500, 0.500)  -0.03
Mg (0.750, 0.750, 0.750)  0.00



No. 11
Below is crystalline LuMg2Ir at its relaxed geometry, with properties calculated at the PBE level.

Summary:
Total magnetic moment, μB per atom: 0.0022
Final energy, eV for the cell shown: -17.96

Lattice parameters (Å, degrees): 4.762 4.762 4.762 60.00 60.00 60.00
Atoms (fractional coordinates):
Ir (0.750, 0.750, 0.750)
Lu (0.500, 0.500, 0.500)
Mg (0.000, 0.000, 0.000)
Mg (0.250, 0.250, 0.250)



No. 12
Below is crystalline Lu2Mg3Ir at its relaxed geometry, with properties calculated at the PBE level.

Summary:
Total magnetic moment, μB per atom: 0.0009
Final energy, eV for the cell shown: -48.38

Lattice parameters (Å, degrees): 5.610 5.610 9.320 90.00 90.00 120.00
Atoms (fractional coordinates):
Ir (0.000, 0.000, 0.000)
Ir (0.000, 0.000, 0.500)
Lu (0.667, 0.333, 0.054)
Lu (0.667, 0.333, 0.446)
Lu (0.333, 0.667, 0.554)
Lu (0.333, 0.667, 0.946)
Mg (0.163, 0.326, 0.250)
Mg (0.163, 0.837, 0.250)
Mg (0.674, 0.837, 0.250)
Mg (0.326, 0.163, 0.750)
Mg (0.837, 0.163, 0.750)
Mg (0.837, 0.674, 0.750)



No. 13
Below is crystalline LuMg2Ir at its relaxed geometry, with properties calculated at the PBE level.

Summary:
Total magnetic moment, μB per atom: 0.0022
Final energy, eV for the cell shown: -17.96

Lattice parameters (Å, degrees): 4.762 4.762 4.762 60.00 60.00 60.00
Atoms (fractional coordinates):
Ir (0.500, 0.500, 0.500)
Lu (0.750, 0.750, 0.750)
Mg (0.000, 0.000, 0.000)
Mg (0.250, 0.250, 0.250)



No. 14
Below is crystalline LuMgSiIr at its relaxed geometry, with properties calculated at the PBE level.

Summary:
Total magnetic moment, μB per atom: 0.0002
Final energy, eV for the cell shown: -22.22

Lattice parameters (Å, degrees): 4.558 4.558 4.558 60.00 60.00 60.00
Atoms (fractional coordinates):
Ir (0.250, 0.250, 0.250)
Lu (0.500, 0.500, 0.500)
Mg (0.750, 0.750, 0.750)
Si (0.000, 0.000, 0.000)



No. 15
Below is crystalline LuMgSiIr at its relaxed geometry, with properties calculated at the PBE level.

Summary:
Total magnetic moment, μB per atom: 0.0004
Final energy, eV for the cell shown: -22.12

Lattice parameters (Å, degrees): 4.650 4.650 4.650 60.00 60.00 60.00
Atoms (fractional coordinates):
Ir (0.500, 0.500, 0.500)
Lu (0.250, 0.250, 0.250)
Mg (0.750, 0.750, 0.750)
Si (0.000, 0.000, 0.000)



No. 16
Below is crystalline LuMgSiIr at its relaxed geometry, with properties calculated at the PBE level.

Summary:
Total magnetic moment, μB per atom: 0.0002
Final energy, eV for the cell shown: -22.06

Lattice parameters (Å, degrees): 4.561 4.561 4.561 60.00 60.00 60.00
Atoms (fractional coordinates):
Ir (0.000, 0.000, 0.000)
Lu (0.500, 0.500, 0.500)
Mg (0.750, 0.750, 0.750)
Si (0.250, 0.250, 0.250)



No. 17
Below is crystalline LuMgSnIr at its relaxed geometry, with properties calculated at the PBE level.

Summary:
Total magnetic moment, μB per atom: 0.0001
Final energy, eV for the cell shown: -20.41

Lattice parameters (Å, degrees): 4.770 4.770 4.770 60.00 60.00 60.00
Atoms (fractional coordinates):
Ir (0.000, 0.000, 0.000)
Lu (0.500, 0.500, 0.500)
Mg (0.750, 0.750, 0.750)
Sn (0.250, 0.250, 0.250)



No. 18
Below is crystalline LuMgSnIr at its relaxed geometry, with properties calculated at the PBE level.

Summary:
Total magnetic moment, μB per atom: 0.0001
Final energy, eV for the cell shown: -20.93

Lattice parameters (Å, degrees): 4.756 4.756 4.756 60.00 60.00 60.00
Atoms (fractional coordinates):
Ir (0.250, 0.250, 0.250)
Lu (0.500, 0.500, 0.500)
Mg (0.750, 0.750, 0.750)
Sn (0.000, 0.000, 0.000)



No. 19
Below is crystalline LuMgSnIr at its relaxed geometry, with properties calculated at the PBE level.

Summary:
Total magnetic moment, μB per atom: 0.0006
Final energy, eV for the cell shown: -20.67

Lattice parameters (Å, degrees): 4.832 4.832 4.832 60.00 60.00 60.00
Atoms (fractional coordinates):
Ir (0.500, 0.500, 0.500)
Lu (0.250, 0.250, 0.250)
Mg (0.750, 0.750, 0.750)
Sn (0.000, 0.000, 0.000)



No. 20
Below is crystalline LuMgZrIr at its relaxed geometry, with properties calculated at the PBE level.

Summary:
Total magnetic moment, μB per atom: 0.0002
Final energy, eV for the cell shown: -25.20

Lattice parameters (Å, degrees): 4.847 4.847 4.847 60.00 60.00 60.00
Atoms (fractional coordinates):
Ir (0.250, 0.250, 0.250)
Lu (0.500, 0.500, 0.500)
Mg (0.750, 0.750, 0.750)
Zr (0.000, 0.000, 0.000)